Computed, not measured: a relaxed Pm2DyTl4 crystal at the PBE level of DFT.

abc: 5.3338 7.9017 10.3709
angles: 90.00 90.00 90.00
Fractional coordinates of all 14 atoms:
Tl (0.0000, 0.2500, 0.7500)
Tl (0.5000, 0.7884, 0.5000)
Tl (0.5000, 0.7116, 0.0000)
Tl (0.0000, 0.7500, 0.7500)
Tl (0.5000, 0.2116, 0.5000)
Tl (0.0000, 0.7500, 0.2500)
Tl (0.5000, 0.2884, 0.0000)
Tl (0.0000, 0.2500, 0.2500)
Pm (0.5000, 0.0000, 0.7888)
Pm (0.5000, 0.5000, 0.7112)
Pm (0.5000, 0.5000, 0.2888)
Pm (0.5000, 0.0000, 0.2112)
Dy (0.0000, 0.5000, 0.0000)
Dy (0.0000, 0.0000, 0.5000)

Summary:
Its density of states at the Fermi level is 10.56 states/eV/cell. For the energy above the most stable polymorph in this dataset, the calculation gives 0.000 eV/f.u. The formation energy is -1.73 eV per formula unit. As for the calculated total energy: -3.615 eV/atom.